Ni2AgBr8: optimized geometry, PBE.

Calculated values
The calculation puts the spin magnetization at 5.84 μB/cell. The calculation puts the calculated volume at 39.16 A^3/atom. Its formation energy (no corrections) is -0.173 eV/atom. The calculated density comes out at 3.3 Mg/m³. The value obtained for the total energy is -59.4 eV for the cell shown.

a = 9.3691 Å, b = 9.3936 Å, c = 10.0280 Å
α = 90.00°, β = 102.53°, γ = 90.00°
Space group C2/m (No. 12)
One atom of each set of equivalent atoms:
Ni1 0.1062 0.0000 0.3717 [4 per cell]
Ag1 0.0000 0.0000 0.0000 [2 per cell]
Br1 0.0695 0.1844 0.1961 [8 per cell]
Br2 0.1426 0.5000 0.6061 [4 per cell]
Br3 0.1462 0.0000 0.6142 [4 per cell]